{"formula": "Cs4Cu", "functional": "GGA-PBE", "state": "optimized geometry", "lattice": [[7.503, 0.000, 0.000], [0.000, 7.503, 0.000], [0.000, 0.000, 7.503]], "species": ["Cs", "Cs", "Cs", "Cs", "Cu"], "frac_coords": [[0.000, 0.000, 0.000], [0.000, 0.500, 0.500], [0.500, 0.000, 0.500], [0.500, 0.500, 0.000], [0.500, 0.500, 0.500]], "final_energy_ev_per_atom": -1.3040, "crystal_system": "cubic", "ef_ev_per_atom": 0.198, "volume_a3_per_fu": 422.4}